1.
! CaCdCl2 (PBEsol, relaxed); values from VASP
&SYSTEM
  ibrav = 0, nat = 4, ntyp = 3
/
ATOMIC_SPECIES
Ca 40.08 Ca.upf
Cd 112.41 Cd.upf
Cl 35.45 Cl.upf
ATOMIC_POSITIONS angstrom
Ca 0.000 0.000 0.000
Cd 0.000 0.000 4.581
Cl 1.694 1.694 1.548
Cl 1.694 1.694 7.614
CELL_PARAMETERS angstrom
3.387 0.000 0.000
0.000 3.387 0.000
0.000 0.000 9.161
! **Energy above the lowest structure with this stoichiometry**: 0.000 eV/atom



2.
! HgH3Rh (PBEsol, relaxed); values from VASP
&SYSTEM
  ibrav = 0, nat = 5, ntyp = 3
/
ATOMIC_SPECIES
Hg 200.59 Hg.upf
H 1.01 H.upf
Rh 102.91 Rh.upf
ATOMIC_POSITIONS angstrom
Hg 0.000 0.000 0.000
H 0.000 1.768 1.768
H 1.768 0.000 1.768
H 1.768 1.768 0.000
Rh 1.768 1.768 1.768
CELL_PARAMETERS angstrom
3.536 0.000 0.000
0.000 3.536 0.000
0.000 0.000 3.536
! **E**: -3.543 eV per atom



3.
! K2ZrSe (PBEsol, relaxed); values from VASP
&SYSTEM
  ibrav = 0, nat = 4, ntyp = 3
/
ATOMIC_SPECIES
K 39.10 K.upf
Zr 91.22 Zr.upf
Se 78.96 Se.upf
ATOMIC_POSITIONS angstrom
K 0.000 0.000 2.291
K 0.000 0.000 9.210
Zr 1.579 1.579 5.751
Se 1.579 1.579 0.000
CELL_PARAMETERS angstrom
3.158 0.000 0.000
0.000 3.158 0.000
0.000 0.000 11.501
! **E**: -3.618 eV per atom



no.,V (A^3/atom)
1,26.28
2,8.84
3,28.68